First-principles (SCAN) data for a PBEsol-optimized structure of LiTaAs2, as listed in the Alexandria database.

The calculated density is 8.6 g/cm3. The total energy is -220.94 eV/cell. As for the polymorph energy (0 for the lowest one): 191 meV/atom. For the total magnetic moment, the calculation gives 0.00 μB per cell. Its formation energy is -0.279 eV/atom.

The structure belongs to space group Cm (No. 8); the cell edges are 9.3624, 3.4206 and 4.1374 Å and the angles 90.00°, 99.30° and 90.00°. The inequivalent atoms are Li at (0.0000, 0.0000, 0.0000), Ta at (0.2221, 0.0000, 0.5783), As at (0.0055, 0.5000, 0.5349) and As at (0.2411, 0.5000, 0.0841).